Arrangement a

# PaAsBr

PaAsBr after structural relaxation (PBE, Alexandria).

abc: 4.170 4.170 7.231
angles: 105.83 105.83 60.03
Fractional coordinates of all 3 atoms:
Br  0.414  0.414  0.699
As  0.931  0.931  0.226
Pa  0.661  0.661  0.427

Computed properties:
- space-group type = Cm, No. 8
- mass density (Mg/m³) = 6.20

---

Arrangement b

# PaAsBr

PaAsBr after structural relaxation (PBE, Alexandria).

abc: 4.073 4.077 12.529
angles: 90.00 81.24 90.00
Fractional coordinates of all 6 atoms:
Pa  0.507  0.072  0.425
Pa  0.129  0.572  0.164
As  0.620  0.072  0.184
As  0.017  0.572  0.404
Br  0.406  0.072  0.639
Br  0.230  0.572  0.949

Computed properties:
- space-group type = P2_1/m, No. 11
- mass density (Mg/m³) = 6.23

---

Arrangement c

# PaAsBr

PaAsBr after structural relaxation (PBE, Alexandria).

abc: 3.519 4.887 4.887
angles: 120.00 90.00 90.00
Fractional coordinates of all 3 atoms:
As  0.667  0.667  0.333
Pa  0.167  0.000  0.000
Br  0.167  0.333  0.667

Computed properties:
- space-group type = P-6m2, No. 187
- mass density (Mg/m³) = 8.80

---

Each structure's energy above the most stable one, in meV/atom: arrangement a 284; arrangement b 0; arrangement c 544.

---

Arrangement a

# AsPbBr2

AsPbBr2 after structural relaxation (PBE, Alexandria).

abc: 9.759 9.759 9.759
angles: 22.44 22.44 22.44
Fractional coordinates of all 4 atoms:
Pb  0.494  0.494  0.494
As  0.754  0.754  0.754
Br  0.017  0.017  0.017
Br  0.235  0.235  0.235

Computed properties:
- space-group type = R3m, No. 160
- mass density (Mg/m³) = 6.18

---

Arrangement b

# AsPbBr2

AsPbBr2 after structural relaxation (PBE, Alexandria).

abc: 4.917 4.917 4.381
angles: 90.00 90.00 90.00
Fractional coordinates of all 4 atoms:
Pb  0.500  0.000  0.500
As  0.000  0.500  0.500
Br  0.000  0.000  0.000
Br  0.500  0.500  0.000

Computed properties:
- space-group type = P4/mmm, No. 123
- mass density (Mg/m³) = 6.93

---

Arrangement c

# AsPbBr2

AsPbBr2 after structural relaxation (PBE, Alexandria).

abc: 3.729 3.729 8.505
angles: 90.00 90.00 90.00
Fractional coordinates of all 4 atoms:
Pb  0.000  0.000  0.524
As  0.500  0.500  0.757
Br  0.000  0.000  0.911
Br  0.500  0.500  0.308

Computed properties:
- space-group type = P4mm, No. 99
- mass density (Mg/m³) = 6.21

---

Arrangement d

# AsPbBr2

AsPbBr2 after structural relaxation (PBE, Alexandria).

abc: 6.813 6.813 6.813
angles: 143.42 143.42 52.69
Fractional coordinates of all 4 atoms:
Pb  0.500  0.500  0.000
As  0.750  0.250  0.500
Br  0.000  0.000  0.000
Br  0.250  0.750  0.500

Computed properties:
- space-group type = I-4m2, No. 119
- mass density (Mg/m³) = 6.57

---

Each structure's energy above the most stable one, in meV/atom: arrangement a 94; arrangement b 135; arrangement c 0; arrangement d 63.

---

Arrangement a

# AsPbBr2

AsPbBr2 after structural relaxation (PBE, Alexandria).

abc: 5.099 5.774 5.076
angles: 66.53 84.63 113.61
Fractional coordinates of all 4 atoms:
Pb  0.000  0.500  0.500
As  0.500  0.500  0.000
Br  0.000  0.000  0.000
Br  0.500  0.000  0.500

Computed properties:
- space-group type = C2/m, No. 12
- mass density (Mg/m³) = 6.13

---

Arrangement b

# AsPbBr2

AsPbBr2 after structural relaxation (PBE, Alexandria).

abc: 10.416 10.416 10.416
angles: 19.86 19.86 19.86
Fractional coordinates of all 4 atoms:
Pb  0.500  0.500  0.500
As  0.000  0.000  0.000
Br  0.915  0.915  0.915
Br  0.085  0.085  0.085

Computed properties:
- space-group type = R-3m, No. 166
- mass density (Mg/m³) = 6.43

---

Arrangement c

# AsPbBr2

AsPbBr2 after structural relaxation (PBE, Alexandria).

abc: 5.395 5.395 5.395
angles: 60.00 60.00 60.00
Fractional coordinates of all 4 atoms:
Pb  0.500  0.500  0.500
As  0.000  0.000  0.000
Br  0.250  0.250  0.250
Br  0.750  0.750  0.750

Computed properties:
- space-group type = Fm-3m, No. 225
- mass density (Mg/m³) = 6.61

---

Arrangement d

# AsPbBr2

AsPbBr2 after structural relaxation (PBE, Alexandria).

abc: 3.661 3.661 9.683
angles: 90.00 90.00 121.55
Fractional coordinates of all 4 atoms:
Pb  0.500  0.500  0.250
As  0.500  0.500  0.750
Br  0.000  0.000  0.967
Br  0.000  0.000  0.533

Computed properties:
- space-group type = Cmmm, No. 65
- mass density (Mg/m³) = 6.64

---

Each structure's energy above the most stable one, in meV/atom: arrangement a 0; arrangement b 24; arrangement c 222; arrangement d 120.

---

Arrangement a

# AsPbBr2

AsPbBr2 after structural relaxation (PBE, Alexandria).

abc: 10.559 10.559 10.559
angles: 19.25 19.25 19.25
Fractional coordinates of all 4 atoms:
Pb  0.000  0.000  0.000
As  0.500  0.500  0.500
Br  0.904  0.904  0.904
Br  0.096  0.096  0.096

Computed properties:
- space-group type = R-3m, No. 166
- mass density (Mg/m³) = 6.56

---

Arrangement b

# AsPbBr2

AsPbBr2 after structural relaxation (PBE, Alexandria).

abc: 4.270 4.266 8.169
angles: 90.00 90.00 90.00
Fractional coordinates of all 4 atoms:
Pb  0.000  0.000  0.637
As  0.500  0.500  0.595
Br  0.000  0.000  0.961
Br  0.500  0.500  0.307

Computed properties:
- space-group type = P4mm, No. 99
- mass density (Mg/m³) = 4.93

---

Arrangement c

# AsPbBr2

AsPbBr2 after structural relaxation (PBE, Alexandria).

abc: 6.069 6.069 6.091
angles: 59.84 59.84 34.34
Fractional coordinates of all 4 atoms:
Pb  0.750  0.750  0.750
As  0.250  0.250  0.250
Br  0.975  0.975  0.025
Br  0.525  0.525  0.475

Computed properties:
- space-group type = Immm, No. 71
- mass density (Mg/m³) = 6.82

---

Each structure's energy above the most stable one, in meV/atom: arrangement a 398; arrangement b 0; arrangement c 221.

---

Arrangement a

# As2PbBr2

As2PbBr2 after structural relaxation (PBE, Alexandria).

abc: 7.577 7.577 5.344
angles: 90.00 90.00 90.00
Fractional coordinates of all 10 atoms:
Pb  0.000  0.000  0.000
Pb  0.500  0.500  0.000
As  0.385  0.885  0.000
As  0.885  0.615  0.000
As  0.615  0.115  0.000
As  0.115  0.385  0.000
Br  0.333  0.833  0.500
Br  0.833  0.667  0.500
Br  0.667  0.167  0.500
Br  0.167  0.333  0.500

Computed properties:
- space-group type = P4/mbm, No. 127
- mass density (Mg/m³) = 5.60

---

Arrangement b

# As2PbBr2

As2PbBr2 after structural relaxation (PBE, Alexandria).

abc: 5.226 5.226 6.617
angles: 66.74 66.74 90.00
Fractional coordinates of all 5 atoms:
Pb  0.000  0.000  0.000
As  0.398  0.398  0.203
As  0.602  0.602  0.797
Br  0.750  0.250  0.500
Br  0.250  0.750  0.500

Computed properties:
- space-group type = I4/mmm, No. 139
- mass density (Mg/m³) = 5.73

---

Each structure's energy above the most stable one, in meV/atom: arrangement a 0; arrangement b 232.

---

Arrangement a

# RbAsPbBr2

RbAsPbBr2 after structural relaxation (PBE, Alexandria).

abc: 6.043 6.043 5.719
angles: 90.00 90.00 90.00
Fractional coordinates of all 5 atoms:
Pb  0.000  0.000  0.000
As  0.000  0.000  0.500
Br  0.000  0.500  0.000
Br  0.500  0.000  0.000
Rb  0.500  0.500  0.500

Computed properties:
- space-group type = P4/mmm, No. 123
- mass density (Mg/m³) = 4.19

---

Arrangement b

# RbAsPbBr2

RbAsPbBr2 after structural relaxation (PBE, Alexandria).

abc: 6.077 6.077 6.288
angles: 90.00 90.00 90.00
Fractional coordinates of all 5 atoms:
Pb  0.500  0.500  0.500
As  0.000  0.000  0.500
Br  0.000  0.500  0.000
Br  0.500  0.000  0.000
Rb  0.000  0.000  0.000

Computed properties:
- space-group type = P4/mmm, No. 123
- mass density (Mg/m³) = 3.77

---

Each structure's energy above the most stable one, in meV/atom: arrangement a 0; arrangement b 761.